[1]
VASP calculation (PBE) on a relaxed structure of ReNi2S.

abc: 4.5460 4.5460 8.6848
angles: 98.56 98.56 37.22
Fractional coordinates of all 8 atoms:
1 Re 0.0000 0.0000 0.0000
2 Re 0.7466 0.7466 0.1438
3 Ni 0.2097 0.2097 0.3760
4 Ni 0.4800 0.4800 0.2397
5 Ni 0.6905 0.6905 0.8315
6 Ni 0.9396 0.9396 0.4645
7 S 0.3913 0.3913 0.7975
8 S 0.6229 0.6229 0.5523

Output
**Space-group type**: Cm

---

[2]
VASP calculation (PBE) on a relaxed structure of ReNi3S.

abc: 4.0682 4.0682 4.0682
angles: 90.00 90.00 90.00
Fractional coordinates of all 5 atoms:
1 Re 0.0000 0.0000 0.0000
2 Ni 0.0000 0.5000 0.5000
3 Ni 0.5000 0.0000 0.5000
4 Ni 0.5000 0.5000 0.0000
5 S 0.5000 0.5000 0.5000

Output
**Relative energy among the computed polymorphs**: 0.0 meV/atom
**Space-group type**: Pm-3m

---

Raw formation energy for every record listed, in sequence, given in eV/atom: -0.0175; 0.6811.
Total magnetization for every record listed, in sequence, given in μB/atom: 0.000; 0.000.